HfCoPtO6 | PBE with a Hubbard U | optimized geometry

## Properties
SG: P-31c, No. 163
Calculated density (g/cm³): 8.5
Raw total energy (eV/atom): -7.07

Lattice parameters (Å, degrees): 5.209 5.209 8.754 90.00 90.00 120.00
Element x y z (fractional)
Hf: 0.333 0.667 0.250
Hf: 0.667 0.333 0.750
Co: 0.000 0.000 0.000
Co: 0.000 0.000 0.500
Pt: 0.333 0.667 0.750
Pt: 0.667 0.333 0.250
O: 0.010 0.343 0.624
O: 0.010 0.667 0.876
O: 0.333 0.343 0.876
O: 0.333 0.990 0.624
O: 0.343 0.010 0.124
O: 0.343 0.333 0.376
O: 0.657 0.667 0.624
O: 0.657 0.990 0.876
O: 0.667 0.010 0.376
O: 0.667 0.657 0.124
O: 0.990 0.333 0.124
O: 0.990 0.657 0.376